Entry 1:
VASP calculation (PBE) on a geometry-optimized TiPb3Au structure.

## Properties
- ΔE_f (meV per atom) = 814

a = 5.4789 Å, b = 5.4789 Å, c = 5.4789 Å
α = 90.00°, β = 90.00°, γ = 90.00°
With the nearest neighbours (Å) after each atom.
Atoms (fractional coordinates):
Pb: 0.0000 0.0000 0.5000  2 Au 2.74
Pb: 0.0000 0.5000 0.0000  2 Au 2.74
Pb: 0.5000 0.0000 0.0000  2 Au 2.74
Au: 0.0000 0.0000 0.0000  6 Pb 2.74
Ti: 0.5000 0.5000 0.5000  12 Pb 3.87

***

Entry 2:
VASP calculation (PBE) on a geometry-optimized TiPb3Au structure.

## Properties
- ΔE_f (meV per atom) = 440

a = 5.4028 Å, b = 5.4028 Å, c = 5.4028 Å
α = 90.00°, β = 90.00°, γ = 90.00°
With the nearest neighbours (Å) after each atom.
Atoms (fractional coordinates):
Pb: 0.0000 0.5000 0.0000  2 Ti 2.70
Pb: 0.0000 0.0000 0.5000  2 Ti 2.70
Pb: 0.5000 0.0000 0.0000  2 Ti 2.70
Au: 0.5000 0.5000 0.5000  12 Pb 3.82
Ti: 0.0000 0.0000 0.0000  6 Pb 2.70

***

Entry 3:
VASP calculation (PBE) on a geometry-optimized Ti12Pb3Au structure.

## Properties
- ΔE_f (meV per atom) = -138

a = 5.2350 Å, b = 5.2500 Å, c = 10.4855 Å
α = 90.00°, β = 90.00°, γ = 90.00°
With the nearest neighbours (Å) after each atom.
Atoms (fractional coordinates):
Pb: 0.5000 0.5000 0.7498  12 Ti 2.92-2.96
Pb: 0.5000 0.5000 0.2502  12 Ti 2.92-2.96
Pb: 0.0000 0.0000 0.0000  12 Ti 2.94-3.00
Ti: 0.7490 0.5000 0.0000  2 Ti 2.61-2.63
Ti: 0.0000 0.2456 0.2581  2 Ti 2.58-2.67, 1 Au 2.85
Ti: 0.2510 0.5000 0.0000  2 Ti 2.61-2.63
Ti: 0.5000 0.0000 0.3814  2 Ti 2.49-2.65
Ti: 0.0000 0.7544 0.2581  2 Ti 2.58-2.67, 1 Au 2.85
Ti: 0.5000 0.0000 0.6186  2 Ti 2.49-2.65
Ti: 0.0000 0.7544 0.7419  2 Ti 2.58-2.67, 1 Au 2.85
Ti: 0.5000 0.0000 0.1282  2 Ti 2.65-2.69, 4 Pb 2.92-2.94
Ti: 0.0000 0.2456 0.7419  2 Ti 2.58-2.67, 1 Au 2.85
Ti: 0.5000 0.0000 0.8718  2 Ti 2.65-2.69, 4 Pb 2.92-2.94
Ti: 0.7579 0.5000 0.5000  2 Ti 2.54-2.70
Ti: 0.2421 0.5000 0.5000  2 Ti 2.54-2.70
Au: 0.0000 0.0000 0.5000  12 Ti 2.85-2.92

***

Entry 4:
VASP calculation (PBE) on a geometry-optimized TiPb2Au structure.

## Properties
- ΔE_f (meV per atom) = 399

a = 3.3311 Å, b = 3.3311 Å, c = 10.5523 Å
α = 80.92°, β = 80.92°, γ = 60.00°
With the nearest neighbours (Å) after each atom.
Atoms (fractional coordinates):
Au: 0.5000 0.5000 0.5000  6 Pb 3.03, 6 Au 3.33
Pb: 0.9084 0.9084 0.2747  1 Ti 2.85, 3 Au 3.03
Pb: 0.0916 0.0916 0.7253  1 Ti 2.85, 3 Au 3.03
Ti: 0.0000 0.0000 0.0000  2 Pb 2.85

***

Entry 5:
VASP calculation (PBE) on a geometry-optimized TiTlPb2Au structure.

## Properties
- ΔE_f (meV per atom) = 1070

a = 5.7151 Å, b = 5.2769 Å, c = 5.7151 Å
α = 90.00°, β = 90.00°, γ = 90.00°
With the nearest neighbours (Å) after each atom.
Atoms (fractional coordinates):
Au: 0.5000 0.5000 0.5000  8 Pb 3.89, 4 Ti 4.04
Pb: 0.5000 0.0000 0.0000  2 Tl 2.86
Pb: 0.0000 0.0000 0.5000  2 Tl 2.86
Tl: 0.0000 0.0000 0.0000  2 Ti 2.64, 4 Pb 2.86
Ti: 0.0000 0.5000 0.0000  2 Tl 2.64

***

Entry 6:
VASP calculation (PBE) on a geometry-optimized Ti2TlPbAu structure.

## Properties
- ΔE_f (meV per atom) = 975

a = 5.2784 Å, b = 5.2471 Å, c = 5.2784 Å
α = 90.00°, β = 90.00°, γ = 90.00°
With the nearest neighbours (Å) after each atom.
Atoms (fractional coordinates):
Au: 0.0000 0.5000 0.0000  2 Pb 2.62
Ti: 0.5000 0.0000 0.0000  2 Pb 2.64
Ti: 0.0000 0.0000 0.5000  2 Pb 2.64
Pb: 0.0000 0.0000 0.0000  2 Au 2.62, 4 Ti 2.64
Tl: 0.5000 0.5000 0.5000  8 Ti 3.72, 4 Au 3.73

***

Which formula does entry 2 have?
TiPb3Au

***

Which of these has the lowest ΔE_f?
Ti12Pb3Au